Below is a geometry-optimized AgPb structure, with properties calculated at the PBE level.

Unit cell a=8.008 b=8.008 c=8.008 alpha=90.00 beta=90.00 gamma=90.00
Space group Pm-3n (No. 223)
One atom of each set of equivalent atoms:
1 Ag 0.000 0.250 0.500 (multiplicity 6)
2 Pb 0.000 0.500 0.250 (multiplicity 6)

Calculated values
Energy relative to the elements: 0.5630 eV per atom

Below is a geometry-optimized PrSmTm3 structure, with properties calculated at the PBE level.

Unit cell a=3.639 b=11.526 c=8.574 alpha=90.00 beta=102.23 gamma=90.00
Space group P2_1/m (No. 11)
One atom of each set of equivalent atoms:
1 Pr 0.191 0.250 0.381 (multiplicity 2)
2 Sm 0.485 0.750 0.969 (multiplicity 2)
3 Tm 0.149 0.750 0.295 (multiplicity 2)
4 Tm 0.342 0.004 0.685 (multiplicity 4)

Calculated values
Energy relative to the elements: 0.3217 eV per atom

Below is a geometry-optimized Ga3SnPt3 structure, with properties calculated at the PBE level.

Unit cell a=6.881 b=6.881 c=6.881 alpha=90.00 beta=90.00 gamma=90.00
Space group Pm-3n (No. 223)
One atom of each set of equivalent atoms:
1 Ga 0.000 0.250 0.500 (multiplicity 6)
2 Sn 0.000 0.000 0.000 (multiplicity 2)
3 Pt 0.000 0.500 0.250 (multiplicity 6)

Calculated values
Energy relative to the elements: -0.1152 eV per atom

Below is a geometry-optimized LaCrCuRu2 structure, with properties calculated at the PBE level.

Unit cell a=4.478 b=4.478 c=4.704 alpha=90.00 beta=90.00 gamma=90.00
Space group P4/mmm (No. 123)
One atom of each set of equivalent atoms:
1 La 0.000 0.000 0.000 (multiplicity 1)
2 Cr 0.500 0.500 0.500 (multiplicity 1)
3 Cu 0.500 0.500 0.000 (multiplicity 1)
4 Ru 0.000 0.500 0.500 (multiplicity 2)

Calculated values
Energy relative to the elements: 0.3758 eV per atom

Below is a geometry-optimized Li2Pm2HoTl2 structure, with properties calculated at the PBE level.

Unit cell a=4.8449 b=4.8449 c=27.2916 alpha=90.00 beta=90.00 gamma=120.00
Space group R-3m (No. 166, hexagonal axes)
One atom of each set of equivalent atoms:
1 Li 0.0000 0.0000 0.1092 (multiplicity 6)
2 Pm 0.0000 0.0000 0.3739 (multiplicity 6)
3 Ho 0.0000 0.0000 0.5000 (multiplicity 3)
4 Tl 0.0000 0.0000 0.2343 (multiplicity 6)

Calculated values
Energy relative to the elements: -0.1868 eV per atom

Below is a geometry-optimized Ac2YPu3Te6 structure, with properties calculated at the PBE level.

Unit cell a=19.710 b=4.516 c=9.095 alpha=90.00 beta=102.68 gamma=90.00
Space group C2/m (No. 12)
One atom of each set of equivalent atoms:
1 Ac 0.165 0.000 0.334 (multiplicity 4)
2 Y 0.000 0.500 0.000 (multiplicity 2)
3 Pu 0.000 0.500 0.500 (multiplicity 2)
4 Pu 0.171 0.000 0.838 (multiplicity 4)
5 Te 0.007 0.000 0.758 (multiplicity 4)
6 Te 0.163 0.500 0.597 (multiplicity 4)
7 Te 0.164 0.500 0.069 (multiplicity 4)

Calculated values
Uncorrected formation energy: -1.25 eV/atom

Calculated D(E_F) (states/eV per cell), listed in the same order as above: 7.6 14.5 8.6 5.3 17.0 74.1